(P)
Density functional theory data (GGA-PBE) for a geometry-optimized InBiTe2N structure.

Cell lengths 6.061, 6.061, 4.459 Å; angles 90.00, 90.00, 90.00 degrees
Each line ends with the local moment (μB).
Element x y z (fractional)
1 N 0.000 0.000 0.500  0.78
2 Te 0.000 0.500 0.000  0.27
3 Te 0.500 0.000 0.000  0.27
4 Bi 0.000 0.000 0.000  -0.04
5 In 0.500 0.500 0.500  0.03

(Q)
Density functional theory data (GGA-PBE) for a geometry-optimized InBiTe2N structure.

Cell lengths 5.830, 5.830, 4.170 Å; angles 90.00, 90.00, 90.00 degrees
Each line ends with the local moment (μB).
Element x y z (fractional)
1 N 0.000 0.000 0.500  0.87
2 Te 0.000 0.500 0.000  0.10
3 Te 0.500 0.000 0.000  0.10
4 Bi 0.500 0.500 0.500  0.01
5 In 0.000 0.000 0.000  -0.03

Most stable structure - (Q); separation to the second - 10.4 kJ/mol of atoms.

(P)
Density functional theory data (GGA-PBE) for a geometry-optimized InBiTeN2 structure.

Cell lengths 4.432, 4.432, 6.444 Å; angles 90.00, 90.00, 90.00 degrees
Each line ends with the local moment (μB).
Element x y z (fractional)
1 N 0.000 0.500 0.000  0.66
2 N 0.500 0.000 0.000  0.66
3 Te 0.000 0.000 0.500  0.02
4 Bi 0.000 0.000 0.000  -0.06
5 In 0.500 0.500 0.500  -0.03

(Q)
Density functional theory data (GGA-PBE) for a geometry-optimized InBiTeN2 structure.

Cell lengths 4.430, 4.430, 5.951 Å; angles 90.00, 90.00, 90.00 degrees
Each line ends with the local moment (μB).
Element x y z (fractional)
1 N 0.000 0.500 0.000  0.95
2 N 0.500 0.000 0.000  0.95
3 Te 0.000 0.000 0.500  0.04
4 Bi 0.500 0.500 0.500  -0.38
5 In 0.000 0.000 0.000  -0.05

Most stable structure - (P); separation to the second - 1.9 kJ/mol of atoms.

(P)
Density functional theory data (GGA-PBE) for a geometry-optimized NaInBi structure.

Cell lengths 5.272, 5.272, 5.272 Å; angles 60.00, 60.00, 60.00 degrees
Element x y z (fractional)
1 Na 0.500 0.500 0.500
2 Bi 0.250 0.250 0.250
3 In 0.000 0.000 0.000

(Q)
Density functional theory data (GGA-PBE) for a geometry-optimized NaInBi structure.

Cell lengths 3.484, 5.407, 5.407 Å; angles 120.00, 90.00, 90.00 degrees
Element x y z (fractional)
1 Na 0.654 0.667 0.333
2 Bi 0.060 0.000 0.000
3 In 0.286 0.333 0.667

(R)
Density functional theory data (GGA-PBE) for a geometry-optimized NaInBi structure.

Cell lengths 5.332, 5.332, 7.181 Å; angles 90.00, 90.00, 90.00 degrees
Element x y z (fractional)
1 Na 0.500 0.000 0.184
2 Na 0.000 0.500 0.816
3 In 0.500 0.500 0.500
4 In 0.000 0.000 0.500
5 Bi 0.500 0.000 0.730
6 Bi 0.000 0.500 0.270

Most stable structure - (Q); separation to the second - 1.8 kJ/mol of atoms.

(P)
Density functional theory data (GGA-PBE) for a geometry-optimized NaInBi structure.

Cell lengths 6.554, 6.554, 6.326 Å; angles 85.78, 129.28, 117.39 degrees
Element x y z (fractional)
1 Na 0.253 0.592 0.845
2 Na 0.747 0.408 0.155
3 Bi 0.000 0.000 0.500
4 Bi 0.500 0.500 0.500
5 In 0.246 0.927 0.174
6 In 0.754 0.073 0.826

(Q)
Density functional theory data (GGA-PBE) for a geometry-optimized NaInBi structure.

Cell lengths 4.144, 4.144, 5.967 Å; angles 110.32, 110.32, 90.00 degrees
Element x y z (fractional)
1 Na 0.283 0.283 0.565
2 Bi 0.605 0.605 0.210
3 In 0.963 0.963 0.925

Most stable structure - (Q); separation to the second - 1.7 kJ/mol of atoms.

(P)
Density functional theory data (GGA-PBE) for a geometry-optimized Na3InBi4 structure.

Cell lengths 3.403, 6.957, 11.142 Å; angles 108.19, 98.78, 90.00 degrees
Element x y z (fractional)
1 Na 0.233 0.233 0.466
2 Na 0.767 0.767 0.534
3 Na 0.000 0.500 0.000
4 In 0.500 0.000 0.000
5 Bi 0.375 0.602 0.751
6 Bi 0.625 0.398 0.249
7 Bi 0.625 0.851 0.249
8 Bi 0.375 0.149 0.751

(Q)
Density functional theory data (GGA-PBE) for a geometry-optimized Na3InBi4 structure.

Cell lengths 3.433, 3.433, 20.030 Å; angles 90.00, 90.00, 90.00 degrees
Element x y z (fractional)
1 Na 0.500 0.500 0.256
2 Na 0.500 0.500 0.500
3 Na 0.500 0.500 0.744
4 Bi 0.000 0.000 0.870
5 Bi 0.000 0.000 0.130
6 Bi 0.000 0.000 0.377
7 Bi 0.000 0.000 0.623
8 In 0.500 0.500 0.000

Most stable structure - (Q); separation to the second - 1.4 kJ/mol of atoms.

(P)
Density functional theory data (GGA-PBE) for a geometry-optimized NaIn4Bi2 structure.

Cell lengths 5.292, 9.218, 9.218 Å; angles 90.00, 90.00, 90.00 degrees
Element x y z (fractional)
1 Na 0.500 0.000 0.000
2 Na 0.000 0.500 0.500
3 In 0.000 0.104 0.363
4 In 0.000 0.896 0.637
5 In 0.500 0.137 0.604
6 In 0.500 0.863 0.396
7 In 0.500 0.396 0.863
8 In 0.500 0.604 0.137
9 In 0.000 0.363 0.104
10 In 0.000 0.637 0.896
11 Bi 0.000 0.203 0.797
12 Bi 0.000 0.797 0.203
13 Bi 0.500 0.703 0.703
14 Bi 0.500 0.297 0.297

(Q)
Density functional theory data (GGA-PBE) for a geometry-optimized NaIn4Bi2 structure.

Cell lengths 12.229, 5.935, 6.292 Å; angles 109.36, 90.00, 90.00 degrees
Element x y z (fractional)
1 Na 0.000 0.000 0.000
2 Na 0.500 0.500 0.000
3 In 0.785 0.499 0.993
4 In 0.698 0.503 0.494
5 In 0.802 0.003 0.494
6 In 0.715 0.999 0.993
7 In 0.285 0.001 0.007
8 In 0.198 0.997 0.506
9 In 0.302 0.497 0.506
10 In 0.215 0.501 0.007
11 Bi 0.998 0.606 0.303
12 Bi 0.002 0.394 0.697
13 Bi 0.498 0.894 0.697
14 Bi 0.502 0.106 0.303

Most stable structure - (Q); separation to the second - 0.5 kJ/mol of atoms.